Density functional theory data (PBE-GGA) for crystalline PrSc2AlCu4 at its relaxed geometry.

Computed properties:
* energy of formation: -0.242 eV per atom
* volume: 18.50 Å³/atom
* space-group type: No. 166

a b c (Å): 8.9106 8.9106 8.9106
angles (deg): 29.09 29.09 29.09
Fractional coordinates of all 8 atoms:
Pr 0.0000 0.0000 0.0000
Sc 0.2345 0.2345 0.2345
Sc 0.7655 0.7655 0.7655
Al 0.5000 0.5000 0.5000
Cu 0.1243 0.1243 0.1243
Cu 0.4032 0.4032 0.4032
Cu 0.5968 0.5968 0.5968
Cu 0.8757 0.8757 0.8757